[1]
H6S3Br, relaxed, DFT PBE; volume = 17.171 Å³ per atom; total magnetic moment = 1.044 μB per cell; crystal system = trigonal; DOS at the Fermi energy = 5.28 states/eV/f.u.; space-group type = No. 160
1.0
5.686 3.283 1.533
-5.686 3.283 1.533
0.000 -6.566 1.533
H S Br
6 3 1
Cartesian
-2.344 -1.353 1.533
2.344 -1.353 1.533
0.000 2.707 1.533
0.000 -1.859 3.020
-1.610 0.929 3.020
1.610 0.929 3.020
-3.220 -1.859 2.443
3.220 -1.859 2.443
0.000 3.718 2.443
0.000 0.000 1.459

=====

[2]
HS6Br2, relaxed, DFT PBE; volume = 34.813 Å³ per atom; total magnetic moment = 2.043 μB per cell; crystal system = monoclinic; DOS at the Fermi energy = 0.67 states/eV/f.u.; space-group type = No. 15
1.0
7.792 -4.675 0.000
7.792 4.675 0.000
-3.984 0.000 8.600
H S Br
2 12 4
Cartesian
4.804 2.718 6.450
6.796 -2.718 2.150
2.305 2.821 7.582
5.860 2.530 2.021
5.393 2.693 4.924
4.214 2.693 7.976
7.732 2.530 2.279
7.302 2.821 5.319
4.298 -2.821 3.282
3.868 -2.530 6.321
7.386 -2.693 0.624
6.207 -2.693 3.676
5.740 -2.530 6.579
9.295 -2.821 1.019
1.418 0.748 7.161
3.411 -0.748 2.860
8.189 0.748 5.740
10.182 -0.748 1.440

=====

[3]
HS4Br, relaxed, DFT PBE; volume = 31.132 Å³ per atom; total magnetic moment = 0.000 μB per cell; crystal system = triclinic; space-group type = No. 1
1.0
4.486 0.000 0.000
-1.999 6.297 0.000
-0.766 -2.142 6.613
H S Br
1 4 1
Cartesian
0.000 0.000 0.000
-0.729 5.750 0.038
1.213 -0.375 3.034
2.350 1.093 0.224
2.309 1.142 2.710
1.099 3.162 2.898

=====

| no. | VASP energy (eV per cell) |
| --- | --- |
| 1 | -34.94 |
| 2 | -60.70 |
| 3 | -21.35 |